Entry 1:
# La7NdI12

A relaxed La7NdI12 crystal (GGA-PBE, Alexandria).

a = 10.3289 Å, b = 10.3289 Å, c = 10.3289 Å
α = 108.47°, β = 108.47°, γ = 108.47°
Closest atoms and distances in Å follow each position.
Sites, in units of the cell vectors:
La  0.9478  0.6614  0.8729  1 Nd 3.11, 5 I 3.27-3.39
La  0.3386  0.1271  0.0522  1 Nd 3.11, 5 I 3.27-3.39
La  0.1271  0.0522  0.3386  1 Nd 3.11, 5 I 3.27-3.39
La  0.5000  0.5000  0.5000  6 I 3.26
La  0.8729  0.9478  0.6614  1 Nd 3.11, 5 I 3.27-3.39
La  0.6614  0.8729  0.9478  1 Nd 3.11, 5 I 3.27-3.39
La  0.0522  0.3386  0.1271  1 Nd 3.11, 5 I 3.27-3.39
Nd  0.0000  0.0000  0.0000  6 La 3.11
I  0.9273  0.3077  0.7797  3 La 3.27-3.39
I  0.6923  0.2203  0.0727  3 La 3.27-3.39
I  0.4866  0.1618  0.4016  3 La 3.26-3.29
I  0.8382  0.5984  0.5134  3 La 3.26-3.29
I  0.2203  0.0727  0.6923  3 La 3.27-3.39
I  0.5984  0.5134  0.8382  3 La 3.26-3.29
I  0.4016  0.4866  0.1618  3 La 3.26-3.29
I  0.7797  0.9273  0.3077  3 La 3.27-3.39
I  0.1618  0.4016  0.4866  3 La 3.26-3.29
I  0.5134  0.8382  0.5984  3 La 3.26-3.29
I  0.3077  0.7797  0.9273  3 La 3.27-3.39
I  0.0727  0.6923  0.2203  3 La 3.27-3.39

Calculated values
ΔE_f (raw) = -1152 meV/atom
Spin magnetization = 2.7 μB per formula unit
SG = R-3, No. 148

=====

Entry 2:
# LaNd2I

A relaxed LaNd2I crystal (GGA-PBE, Alexandria).

a = 3.8610 Å, b = 3.8610 Å, c = 11.1610 Å
α = 80.03°, β = 80.03°, γ = 60.00°
Closest atoms and distances in Å follow each position.
Sites, in units of the cell vectors:
La  0.5000  0.5000  0.5001  6 Nd 3.70-3.71, 6 La 3.86
Nd  0.0765  0.0765  0.7704  3 I 3.36, 3 La 3.70
Nd  0.2569  0.2569  0.2294  3 I 3.35-3.36, 3 La 3.71
I  0.6667  0.6667  0.0001  6 Nd 3.35-3.36

Calculated values
ΔE_f (raw) = -379 meV/atom
Spin magnetization = 0.1 μB per formula unit
Relative energy among the computed polymorphs = 43 meV/atom
SG = R3m, No. 160